(1)
# LiFe6O4F8

A geometry-optimized LiFe6O4F8 structure (PBE+U, Alexandria via LeMat-Bulk).

The calculated total energy comes out at -5.77 eV/atom.

Cell lengths 5.7653, 5.8404, 7.9063 Å; angles 69.13, 69.40, 69.44 degrees
With the nearest neighbours (Å) after each atom.
Space group P1 (No. 1)
One atom of each set of equivalent atoms:
1 Li 0.0000 0.0000 0.0000 x1  3 F 1.88-1.98, 1 O 1.89
2 Fe 0.3234 0.9152 0.6254 x1  3 O 1.92-2.01, 2 F 2.13
3 Fe 0.3907 0.8545 0.1535 x1  1 O 1.93, 3 F 2.09-2.14
4 Fe 0.6398 0.2286 0.3160 x1  3 O 1.88-2.00
5 Fe 0.6722 0.2016 0.7805 x1  1 O 1.98, 4 F 2.04-2.20
6 Fe 0.9857 0.5730 0.4662 x1  2 O 1.96-2.00, 4 F 2.01-2.08
7 Fe 0.9890 0.5562 0.9551 x1  2 O 1.97-2.05, 2 F 2.12-2.19
8 O 0.2852 0.2666 0.4639 x1  3 Fe 1.94-2.00
9 O 0.6551 0.5429 0.1393 x1  3 Fe 1.88-1.97
10 O 0.6897 0.8682 0.4727 x1  3 Fe 1.96-2.01
11 O 0.9881 0.9200 0.7921 x1  1 Li 1.89, 3 Fe 1.92-2.05
12 F 0.0681 0.1616 0.1382 x1  1 Li 1.88, 1 Fe 2.09
13 F 0.0902 0.6762 0.1818 x1  1 Li 1.95, 1 Fe 2.03
14 F 0.2275 0.7770 0.4503 x1  3 Fe 2.08-2.14
15 F 0.3763 0.5186 0.7946 x1  3 Fe 2.04-2.20
16 F 0.4062 0.9883 0.8406 x1  3 Fe 2.13-2.29, 1 Li 2.22
17 F 0.6226 0.1003 0.0992 x1  1 Li 1.98, 2 Fe 2.13-2.14
18 F 0.7690 0.3422 0.4843 x1  3 Fe 2.08-2.12
19 F 0.9033 0.4520 0.7471 x1  3 Fe 2.01-2.20

(2)
# LiFe3O2F6

A geometry-optimized LiFe3O2F6 structure (PBE+U, Alexandria via LeMat-Bulk).

The calculated total energy comes out at -5.52 eV/atom.

Cell lengths 5.6032, 4.6872, 10.2395 Å; angles 90.00, 96.02, 90.00 degrees
With the nearest neighbours (Å) after each atom.
Space group P2_1/c (No. 14)
One atom of each set of equivalent atoms:
1 Li 0.0000 0.0000 0.0000 x2  6 F 1.99-2.13
2 Fe 0.2690 0.0217 0.7540 x4  2 O 1.95-1.96, 4 F 1.98-2.07
3 Fe 0.5000 0.0000 0.5000 x2  2 O 1.91, 4 F 2.02-2.03
4 O 0.4816 0.1791 0.3313 x4  3 Fe 1.91-1.96
5 F 0.0190 0.7175 0.6836 x4  2 Fe 2.02-2.07, 1 Li 2.13
6 F 0.2257 0.2006 0.5748 x4  1 Li 1.99, 2 Fe 2.01-2.02
7 F 0.2765 0.6883 0.4226 x4  2 Fe 1.98-2.03, 1 Li 2.02

(3)
# LiFeOF2

A geometry-optimized LiFeOF2 structure (PBE+U, Alexandria via LeMat-Bulk).

The calculated total energy comes out at -5.27 eV/atom.

Cell lengths 4.0426, 4.0426, 3.7802 Å; angles 90.00, 90.00, 90.00 degrees
With the nearest neighbours (Å) after each atom.
Space group P4/mmm (No. 123)
One atom of each set of equivalent atoms:
1 Li 0.0000 0.0000 0.0000 x1  8 F 2.77, 4 O 2.86
2 Fe 0.5000 0.5000 0.5000 x1  2 O 1.89, 4 F 2.02
3 O 0.5000 0.5000 0.0000 x1  2 Fe 1.89
4 F 0.0000 0.5000 0.5000 x2  2 Fe 2.02

Copy entry 3 word for word.
# LiFeOF2

A geometry-optimized LiFeOF2 structure (PBE+U, Alexandria via LeMat-Bulk).

The calculated total energy comes out at -5.27 eV/atom.

Cell lengths 4.0426, 4.0426, 3.7802 Å; angles 90.00, 90.00, 90.00 degrees
With the nearest neighbours (Å) after each atom.
Space group P4/mmm (No. 123)
One atom of each set of equivalent atoms:
1 Li 0.0000 0.0000 0.0000 x1  8 F 2.77, 4 O 2.86
2 Fe 0.5000 0.5000 0.5000 x1  2 O 1.89, 4 F 2.02
3 O 0.5000 0.5000 0.0000 x1  2 Fe 1.89
4 F 0.0000 0.5000 0.5000 x2  2 Fe 2.02